[1]
A plane-wave DFT calculation with GGA-PBE was carried out for SiSbTeI2 after structural relaxation.

Lattice parameters (Å, degrees): 5.386 5.386 5.587 90.00 90.00 90.00
Fractional positions:
1 I 0.000 0.500 0.000
2 I 0.500 0.000 0.000
3 Sb 0.500 0.500 0.500
4 Si 0.000 0.000 0.000
5 Te 0.000 0.000 0.500

The energy above the lowest structure with this stoichiometry comes out at 0.00 eV per formula unit. The space group is P4/mmm, No. 123.


[2]
A plane-wave DFT calculation with GGA-PBE was carried out for SiSbTeI2 after structural relaxation.

Lattice parameters (Å, degrees): 5.818 5.818 6.086 90.00 90.00 90.00
Fractional positions:
1 I 0.000 0.500 0.000
2 I 0.500 0.000 0.000
3 Sb 0.000 0.000 0.500
4 Si 0.500 0.500 0.500
5 Te 0.000 0.000 0.000

The energy above the lowest structure with this stoichiometry comes out at 2.58 eV per formula unit. The space group is P4/mmm, No. 123.


[3]
A plane-wave DFT calculation with GGA-PBE was carried out for SiSbTeI2 after structural relaxation.

Lattice parameters (Å, degrees): 5.886 5.886 5.929 90.00 90.00 90.00
Fractional positions:
1 I 0.000 0.500 0.000
2 I 0.500 0.000 0.000
3 Sb 0.000 0.000 0.000
4 Si 0.500 0.500 0.500
5 Te 0.000 0.000 0.500

The energy above the lowest structure with this stoichiometry comes out at 1.35 eV per formula unit. The space group is P4/mmm, No. 123.


[4]
A plane-wave DFT calculation with GGA-PBE was carried out for TiSiSbI2 after structural relaxation.

Lattice parameters (Å, degrees): 5.337 5.337 5.636 90.00 90.00 90.00
Fractional positions:
1 I 0.000 0.500 0.000
2 I 0.500 0.000 0.000
3 Sb 0.000 0.000 0.500
4 Si 0.500 0.500 0.500
5 Ti 0.000 0.000 0.000

The energy above the lowest structure with this stoichiometry comes out at 0.00 eV per formula unit. The space group is P4/mmm, No. 123.


[5]
A plane-wave DFT calculation with GGA-PBE was carried out for TiSiSbI2 after structural relaxation.

Lattice parameters (Å, degrees): 5.344 5.344 5.438 90.00 90.00 90.00
Fractional positions:
1 I 0.000 0.500 0.000
2 I 0.500 0.000 0.000
3 Sb 0.000 0.000 0.500
4 Si 0.000 0.000 0.000
5 Ti 0.500 0.500 0.500

The energy above the lowest structure with this stoichiometry comes out at 1.59 eV per formula unit. The space group is P4/mmm, No. 123.


[6]
A plane-wave DFT calculation with GGA-PBE was carried out for TlSiSbI2 after structural relaxation.

Lattice parameters (Å, degrees): 5.971 5.971 5.847 90.00 90.00 90.00
Fractional positions:
1 I 0.000 0.500 0.000
2 I 0.500 0.000 0.000
3 Sb 0.000 0.000 0.500
4 Tl 0.000 0.000 0.000
5 Si 0.500 0.500 0.500

The energy above the lowest structure with this stoichiometry comes out at 3.68 eV per formula unit. The space group is P4/mmm, No. 123.


[7]
A plane-wave DFT calculation with GGA-PBE was carried out for TlSiSbI2 after structural relaxation.

Lattice parameters (Å, degrees): 5.681 5.681 5.440 90.00 90.00 90.00
Fractional positions:
1 I 0.000 0.500 0.000
2 I 0.500 0.000 0.000
3 Sb 0.000 0.000 0.500
4 Tl 0.500 0.500 0.500
5 Si 0.000 0.000 0.000

The energy above the lowest structure with this stoichiometry comes out at 0.00 eV per formula unit. The space group is P4/mmm, No. 123.


[8]
A plane-wave DFT calculation with GGA-PBE was carried out for VSiSbI2 after structural relaxation.

Lattice parameters (Å, degrees): 5.361 5.361 5.394 90.00 90.00 90.00
Fractional positions:
1 I 0.000 0.500 0.000
2 I 0.500 0.000 0.000
3 Sb 0.000 0.000 0.500
4 Si 0.500 0.500 0.500
5 V 0.000 0.000 0.000

The energy above the lowest structure with this stoichiometry comes out at 0.00 eV per formula unit. The space group is P4/mmm, No. 123.


[9]
A plane-wave DFT calculation with GGA-PBE was carried out for VSiSb2I after structural relaxation.

Lattice parameters (Å, degrees): 5.183 5.183 5.338 90.00 90.00 90.00
Fractional positions:
1 I 0.000 0.000 0.500
2 Sb 0.000 0.500 0.000
3 Sb 0.500 0.000 0.000
4 Si 0.000 0.000 0.000
5 V 0.500 0.500 0.500

The energy above the lowest structure with this stoichiometry comes out at 2.17 eV per formula unit. The space group is P4/mmm, No. 123.


[10]
A plane-wave DFT calculation with GGA-PBE was carried out for VSiSbI2 after structural relaxation.

Lattice parameters (Å, degrees): 5.365 5.365 5.434 90.00 90.00 90.00
Fractional positions:
1 I 0.000 0.500 0.000
2 I 0.500 0.000 0.000
3 Sb 0.000 0.000 0.500
4 Si 0.000 0.000 0.000
5 V 0.500 0.500 0.500

The energy above the lowest structure with this stoichiometry comes out at 2.21 eV per formula unit. The space group is P4/mmm, No. 123.


[11]
A plane-wave DFT calculation with GGA-PBE was carried out for VSiSb2I after structural relaxation.

Lattice parameters (Å, degrees): 5.065 5.065 5.758 90.00 90.00 90.00
Fractional positions:
1 I 0.000 0.000 0.500
2 Sb 0.000 0.500 0.000
3 Sb 0.500 0.000 0.000
4 Si 0.500 0.500 0.500
5 V 0.000 0.000 0.000

The energy above the lowest structure with this stoichiometry comes out at 0.00 eV per formula unit. The space group is P4/mmm, No. 123.


[12]
A plane-wave DFT calculation with GGA-PBE was carried out for SiSb2WI after structural relaxation.

Lattice parameters (Å, degrees): 5.182 5.182 5.806 90.00 90.00 90.00
Fractional positions:
1 I 0.000 0.000 0.500
2 Sb 0.000 0.500 0.000
3 Sb 0.500 0.000 0.000
4 Si 0.500 0.500 0.500
5 W 0.000 0.000 0.000

The energy above the lowest structure with this stoichiometry comes out at 0.00 eV per formula unit. The space group is P4/mmm, No. 123.


[13]
A plane-wave DFT calculation with GGA-PBE was carried out for SiSb2WI after structural relaxation.

Lattice parameters (Å, degrees): 5.165 5.165 5.242 90.00 90.00 90.00
Fractional positions:
1 I 0.000 0.000 0.500
2 Sb 0.000 0.500 0.000
3 Sb 0.500 0.000 0.000
4 Si 0.000 0.000 0.000
5 W 0.500 0.500 0.500

The energy above the lowest structure with this stoichiometry comes out at 2.16 eV per formula unit. The space group is P4/mmm, No. 123.


[14]
A plane-wave DFT calculation with GGA-PBE was carried out for YSiSbI2 after structural relaxation.

Lattice parameters (Å, degrees): 5.824 5.824 6.193 90.00 90.00 90.00
Fractional positions:
1 I 0.000 0.500 0.000
2 I 0.500 0.000 0.000
3 Sb 0.000 0.000 0.500
4 Si 0.500 0.500 0.500
5 Y 0.000 0.000 0.000

The energy above the lowest structure with this stoichiometry comes out at 0.47 eV per formula unit. The space group is P4/mmm, No. 123.


[15]
A plane-wave DFT calculation with GGA-PBE was carried out for YSiSbI2 after structural relaxation.

Lattice parameters (Å, degrees): 5.375 5.375 5.497 90.00 90.00 90.00
Fractional positions:
1 I 0.000 0.500 0.000
2 I 0.500 0.000 0.000
3 Sb 0.000 0.000 0.500
4 Si 0.000 0.000 0.000
5 Y 0.500 0.500 0.500

The energy above the lowest structure with this stoichiometry comes out at 0.00 eV per formula unit. The space group is P4/mmm, No. 123.


[16]
A plane-wave DFT calculation with GGA-PBE was carried out for Sm6Sb5I after structural relaxation.

Lattice parameters (Å, degrees): 7.768 7.768 7.749 99.58 99.58 119.97
Fractional positions:
1 I 0.000 0.000 0.000
2 Sb 0.840 0.160 0.500
3 Sb 0.668 0.332 0.000
4 Sb 0.500 0.500 0.500
5 Sb 0.332 0.668 0.000
6 Sb 0.160 0.840 0.500
7 Sm 0.437 0.087 0.260
8 Sm 0.913 0.563 0.740
9 Sm 0.264 0.264 0.744
10 Sm 0.736 0.736 0.256
11 Sm 0.087 0.437 0.260
12 Sm 0.563 0.913 0.740

The space group is C2/m, No. 12.


[17]
A plane-wave DFT calculation with GGA-PBE was carried out for Sm3SbI7 after structural relaxation.

Lattice parameters (Å, degrees): 7.172 9.125 9.125 120.00 90.00 90.00
Fractional positions:
1 Sm 0.775 0.497 0.503
2 Sm 0.775 0.497 0.995
3 Sm 0.775 0.005 0.503
4 Sb 0.543 0.333 0.667
5 I 0.028 0.175 0.825
6 I 0.028 0.175 0.350
7 I 0.034 0.667 0.333
8 I 0.544 0.829 0.171
9 I 0.544 0.342 0.171
10 I 0.544 0.829 0.658
11 I 0.028 0.650 0.825

The space group is P3m1, No. 156.


[18]
A plane-wave DFT calculation with GGA-PBE was carried out for Sm7SbI12 after structural relaxation.

Lattice parameters (Å, degrees): 9.987 9.987 9.987 108.23 108.23 108.23
Fractional positions:
1 Sm 0.963 0.675 0.891
2 Sm 0.325 0.109 0.037
3 Sm 0.109 0.037 0.325
4 Sm 0.500 0.500 0.500
5 Sm 0.891 0.963 0.675
6 Sm 0.675 0.891 0.963
7 Sm 0.037 0.325 0.109
8 Sb 0.000 0.000 0.000
9 I 0.921 0.311 0.770
10 I 0.689 0.230 0.079
11 I 0.471 0.157 0.391
12 I 0.843 0.609 0.529
13 I 0.230 0.079 0.689
14 I 0.609 0.529 0.843
15 I 0.391 0.471 0.157
16 I 0.770 0.921 0.311
17 I 0.157 0.391 0.471
18 I 0.529 0.843 0.609
19 I 0.311 0.770 0.921
20 I 0.079 0.689 0.230

The space group is R-3, No. 148.


[19]
A plane-wave DFT calculation with GGA-PBE was carried out for Sm2SbI3 after structural relaxation.

Lattice parameters (Å, degrees): 4.641 9.778 11.724 80.24 78.58 76.27
Fractional positions:
1 Sm 0.865 0.444 0.827
2 Sm 0.135 0.556 0.173
3 Sm 0.605 0.238 0.552
4 Sm 0.395 0.762 0.448
5 Sb 0.408 0.522 0.661
6 Sb 0.592 0.478 0.339
7 I 0.055 0.141 0.748
8 I 0.945 0.859 0.252
9 I 0.661 0.696 0.983
10 I 0.339 0.304 0.017
11 I 0.761 0.871 0.606
12 I 0.239 0.129 0.394

The space group is C2/m, No. 12.


[20]
A plane-wave DFT calculation with GGA-PBE was carried out for Sm4Sb3I after structural relaxation.

Lattice parameters (Å, degrees): 6.313 6.313 7.758 114.01 114.01 90.00
Fractional positions:
1 I 0.000 0.000 0.000
2 Sb 0.500 0.500 0.000
3 Sb 0.750 0.250 0.500
4 Sb 0.250 0.750 0.500
5 Sm 0.000 0.500 0.000
6 Sm 0.500 0.000 0.000
7 Sm 0.261 0.261 0.522
8 Sm 0.739 0.739 0.478

The space group is I4/mmm, No. 139.


no.,formation energy without anion corrections (meV per atom),electronic total energy (eV per cell),total magnetic moment (μB per formula unit)
1,433.5,-13.62,0.0
2,949.7,-11.04,0.2
3,702.5,-12.27,0.9
4,498.8,-18.05,1.2
5,816.8,-16.46,0.1
6,901.4,-10.50,0.0
7,165.1,-14.19,0.0
8,684.8,-18.34,2.7
9,1174.4,-18.46,0.2
10,1126.1,-16.13,0.0
11,739.7,-20.64,1.7
12,1108.8,-22.63,1.6
13,1540.7,-20.47,3.1
14,216.1,-18.03,0.2
15,121.3,-18.50,0.0
16,-1164.4,-64.45,0.0
17,-1182.7,-42.14,1.1
18,-1279.2,-81.34,0.0
19,-1190.2,-50.70,0.0
20,-1112.8,-41.70,0.0